No. 1
The following is a DFT calculation (PBE-GGA) of a geometry-optimized CsLa2NiRh structure.

Unit cell a=5.8414 b=5.8414 c=4.8577 alpha=90.00 beta=90.00 gamma=90.00
Last column: nearest neighbours and their distance in Å.
Atoms (fractional coordinates):
Cs 0.0000 0.0000 0.0000  2 Rh 2.43
Ni 0.5000 0.5000 0.5000  8 La 3.80, 4 Rh 4.13
Rh 0.0000 0.0000 0.5000  2 Cs 2.43
La 0.0000 0.5000 0.0000  2 Cs 2.92
La 0.5000 0.0000 0.0000  2 Cs 2.92

Output
Space group = P4/mmm, No. 123
M_tot = 0.31 μB/f.u.
D(E_F) = 1.588 states/eV per atom
E_form = 1.428 eV per atom

***

No. 2
The following is a DFT calculation (PBE-GGA) of a geometry-optimized ZrTaFeNi structure.

Unit cell a=4.4301 b=4.4301 c=4.4301 alpha=60.00 beta=60.00 gamma=60.00
Last column: nearest neighbours and their distance in Å.
Atoms (fractional coordinates):
Ni 0.5000 0.5000 0.5000  4 Zr 2.71, 4 Ta 2.71
Fe 0.0000 0.0000 0.0000  4 Zr 2.71, 4 Ta 2.71
Zr 0.7500 0.7500 0.7500  4 Fe 2.71, 4 Ni 2.71
Ta 0.2500 0.2500 0.2500  4 Fe 2.71, 4 Ni 2.71

Output
Space group = F-43m, No. 216
M_tot = 0.29 μB/f.u.
D(E_F) = 0.899 states/eV per atom
E_form = -0.151 eV per atom